# 1
The following is a DFT calculation (PBE) of crystalline ZnPPbF at its relaxed geometry.

E above lowest polymorph, eV per formula unit: 0.98

Cell lengths 3.9205, 3.9205, 33.5250 Å; angles 90.00, 90.00, 120.00 degrees
With the nearest neighbours (Å) after each atom.
Space group R-3m (No. 166, hexagonal axes)
One atom of each set of equivalent atoms:
Zn  0.0000  0.0000  0.1256 [6 per cell]  1 F 1.98
P  0.0000  0.0000  0.4207 [6 per cell]  3 Zn 2.60, 3 Pb 2.75
Pb  0.0000  0.0000  0.2925 [6 per cell]  3 P 2.75
F  0.0000  0.0000  0.1847 [6 per cell]  1 Zn 1.98

---

# 2
The following is a DFT calculation (PBE) of crystalline ZnPPbF at its relaxed geometry.

E above lowest polymorph, eV per formula unit: 1.56

Cell lengths 3.6798, 3.6798, 11.1443 Å; angles 90.00, 90.00, 90.00 degrees
With the nearest neighbours (Å) after each atom.
Space group P4/nmm (No. 129, origin choice 2)
One atom of each set of equivalent atoms:
Zn  0.2500  0.2500  0.1223 [2 per cell]  5 P 2.41-2.62
P  0.2500  0.2500  0.9061 [2 per cell]  5 Zn 2.41-2.62
Pb  0.2500  0.2500  0.6519 [2 per cell]  4 F 2.50
F  0.2500  0.7500  0.5000 [2 per cell]  4 Pb 2.50, 4 F 2.60

---

# 3
The following is a DFT calculation (PBE) of crystalline ZnPPbF at its relaxed geometry.

E above lowest polymorph, eV per formula unit: 0.91

Cell lengths 9.5057, 17.9408, 3.9505 Å; angles 90.00, 90.00, 90.00 degrees
With the nearest neighbours (Å) after each atom.
Space group Pbam (No. 55)
One atom of each set of equivalent atoms:
Zn  0.1057  0.0786  0.0000 [4 per cell]  2 F 2.19, 1 P 2.32
Zn  0.1122  0.6044  0.0000 [4 per cell]  2 F 2.18, 2 P 2.33-2.39
P  0.2170  0.2020  0.0000 [4 per cell]  2 Zn 2.39-2.45
P  0.2205  0.4880  0.0000 [4 per cell]  2 Zn 2.32-2.33
Pb  0.0310  0.2286  0.5000 [4 per cell]  2 F 2.63-2.78, 2 P 2.69
Pb  0.2441  0.3922  0.5000 [4 per cell]  2 F 2.52-2.54, 2 P 2.63
F  0.0072  0.0824  0.5000 [4 per cell]  2 Zn 2.19
F  0.0198  0.6186  0.5000 [4 per cell]  2 Zn 2.18